# 1
{
  "formula": "ZnSiAsSe2",
  "functional": "GGA-PBE",
  "state": "relaxed",
  "lattice": [[-1.027, -2.279, -4.114], [4.365, -2.029, 0.034], [-1.780, -3.788, 2.543]],
  "species": ["As", "Si", "Zn", "Se", "Se"],
  "frac_coords": [[0.000, 0.000, 0.500], [0.000, 0.000, 0.000], [0.500, 0.500, 0.500], [0.000, 0.500, 0.000], [0.500, 0.000, 0.000]],
  "e_above_lowest_polymorph_mev_per_atom": 0,
  "formation_energy_uncorrected_kj_per_mol_atoms": 45,
  "dos_ef_per_ev_fu": 3.8,
  "magmom_total_mub_per_cell": 0.00,
  "energy_ha_per_atom": -0.117
}

---

# 2
{
  "formula": "ZrSiAs2Se",
  "functional": "GGA-PBE",
  "state": "relaxed",
  "lattice": [[-3.049, -0.359, 4.215], [2.693, -4.172, 1.592], [3.196, 3.045, 2.571]],
  "species": ["As", "As", "Si", "Se", "Zr"],
  "frac_coords": [[0.000, 0.500, 0.000], [0.500, 0.000, 0.000], [0.500, 0.500, 0.500], [0.000, 0.000, 0.500], [0.000, 0.000, 0.000]],
  "e_above_lowest_polymorph_mev_per_atom": 149,
  "formation_energy_uncorrected_kj_per_mol_atoms": 41,
  "dos_ef_per_ev_fu": 4.4,
  "magmom_total_mub_per_cell": 0.00,
  "energy_ha_per_atom": -0.181
}

---

# 3
{
  "formula": "ZrSiAs2Se",
  "functional": "GGA-PBE",
  "state": "relaxed",
  "lattice": [[4.707, 0.000, 0.000], [0.000, 4.707, 0.000], [0.000, 0.000, 4.821]],
  "species": ["As", "As", "Si", "Se", "Zr"],
  "frac_coords": [[0.000, 0.500, 0.000], [0.500, 0.000, 0.000], [0.000, 0.000, 0.000], [0.000, 0.000, 0.500], [0.500, 0.500, 0.500]],
  "e_above_lowest_polymorph_mev_per_atom": 0,
  "formation_energy_uncorrected_kj_per_mol_atoms": 27,
  "dos_ef_per_ev_fu": 3.7,
  "magmom_total_mub_per_cell": 0.00,
  "energy_ha_per_atom": -0.186
}

---

# 4
{
  "formula": "SmAsSe3",
  "functional": "GGA-PBE",
  "state": "relaxed",
  "lattice": [[-2.245, 2.439, -1.969], [-4.888, -5.157, -0.815], [-8.822, 5.664, 17.068]],
  "species": ["Sm", "Sm", "Sm", "Sm", "As", "As", "As", "As", "Se", "Se", "Se", "Se", "Se", "Se", "Se", "Se", "Se", "Se", "Se", "Se"],
  "frac_coords": [[0.750, 0.767, 0.810], [0.250, 0.233, 0.190], [0.750, 0.267, 0.690], [0.250, 0.733, 0.310], [0.250, 0.283, 0.002], [0.250, 0.783, 0.498], [0.750, 0.217, 0.502], [0.750, 0.717, 0.998], [0.250, 0.387, 0.582], [0.750, 0.013, 0.267], [0.750, 0.440, 0.924], [0.750, 0.940, 0.576], [0.750, 0.613, 0.418], [0.250, 0.060, 0.424], [0.250, 0.887, 0.918], [0.750, 0.513, 0.233], [0.250, 0.487, 0.767], [0.250, 0.987, 0.733], [0.750, 0.113, 0.082], [0.250, 0.560, 0.076]],
  "e_above_lowest_polymorph_mev_per_atom": 0,
  "formation_energy_uncorrected_kj_per_mol_atoms": -91,
  "dos_ef_per_ev_fu": 0.0,
  "magmom_total_mub_per_cell": 0.00,
  "energy_ha_per_atom": -0.180
}

---

# 5
{
  "formula": "Sm8AsSe6",
  "functional": "GGA-PBE",
  "state": "relaxed",
  "lattice": [[-1.051, -4.073, 0.491], [-5.221, 0.246, -9.130], [10.190, -2.610, 0.164]],
  "species": ["Sm", "Sm", "Sm", "Sm", "Sm", "Sm", "Sm", "Sm", "As", "Se", "Se", "Se", "Se", "Se", "Se"],
  "frac_coords": [[0.740, 0.969, 0.280], [0.740, 0.720, 0.689], [0.740, 0.311, 0.031], [0.260, 0.031, 0.720], [0.260, 0.280, 0.311], [0.260, 0.689, 0.969], [0.746, 0.333, 0.667], [0.254, 0.667, 0.333], [0.500, 0.000, 0.000], [0.754, 0.649, 0.129], [0.754, 0.871, 0.520], [0.754, 0.480, 0.351], [0.246, 0.351, 0.871], [0.246, 0.129, 0.480], [0.246, 0.520, 0.649]],
  "formation_energy_uncorrected_kj_per_mol_atoms": -133,
  "dos_ef_per_ev_fu": 8.8,
  "magmom_total_mub_per_cell": 0.00,
  "energy_ha_per_atom": -0.206
}

---

# 6
{
  "formula": "Sm3As5Se12",
  "functional": "GGA-PBE",
  "state": "relaxed",
  "lattice": [[-1.672, -0.492, -14.106], [-12.379, -2.925, 6.343], [4.321, 12.994, 3.809]],
  "species": ["Sm", "Sm", "Sm", "Sm", "Sm", "Sm", "Sm", "Sm", "Sm", "Sm", "Sm", "Sm", "As", "As", "As", "As", "As", "As", "As", "As", "As", "As", "As", "As", "As", "As", "As", "As", "As", "As", "As", "As", "Se", "Se", "Se", "Se", "Se", "Se", "Se", "Se", "Se", "Se", "Se", "Se", "Se", "Se", "Se", "Se", "Se", "Se", "Se", "Se", "Se", "Se", "Se", "Se", "Se", "Se", "Se", "Se", "Se", "Se", "Se", "Se", "Se", "Se", "Se", "Se", "Se", "Se", "Se", "Se", "Se", "Se", "Se", "Se", "Se", "Se", "Se", "Se"],
  "frac_coords": [[0.750, 0.375, 0.125], [0.875, 0.750, 0.125], [0.375, 0.750, 0.625], [0.250, 0.125, 0.375], [0.875, 0.125, 0.250], [0.375, 0.625, 0.250], [0.625, 0.375, 0.750], [0.125, 0.875, 0.750], [0.750, 0.875, 0.625], [0.625, 0.250, 0.375], [0.125, 0.250, 0.875], [0.250, 0.625, 0.875], [0.125, 0.375, 0.250], [0.000, 0.500, 0.000], [0.000, 0.000, 0.000], [0.375, 0.250, 0.125], [0.500, 0.000, 0.500], [0.500, 0.500, 0.000], [0.125, 0.750, 0.375], [0.750, 0.125, 0.875], [0.750, 0.625, 0.375], [0.375, 0.125, 0.750], [0.625, 0.875, 0.250], [0.500, 0.500, 0.500], [0.500, 0.000, 0.000], [0.000, 0.000, 0.500], [0.250, 0.375, 0.625], [0.250, 0.875, 0.125], [0.000, 0.500, 0.500], [0.875, 0.250, 0.625], [0.625, 0.750, 0.875], [0.875, 0.625, 0.750], [0.713, 0.130, 0.042], [0.328, 0.542, 0.412], [0.958, 0.370, 0.287], [0.542, 0.213, 0.130], [0.583, 0.713, 0.672], [0.958, 0.588, 0.172], [0.328, 0.787, 0.417], [0.088, 0.917, 0.130], [0.588, 0.958, 0.672], [0.713, 0.583, 0.172], [0.787, 0.458, 0.370], [0.828, 0.912, 0.042], [0.130, 0.713, 0.542], [0.370, 0.412, 0.083], [0.083, 0.912, 0.370], [0.417, 0.130, 0.588], [0.083, 0.172, 0.213], [0.458, 0.672, 0.088], [0.828, 0.917, 0.287], [0.130, 0.417, 0.088], [0.370, 0.958, 0.787], [0.588, 0.630, 0.417], [0.912, 0.828, 0.542], [0.787, 0.328, 0.917], [0.412, 0.370, 0.583], [0.088, 0.172, 0.458], [0.213, 0.672, 0.083], [0.172, 0.083, 0.713], [0.630, 0.042, 0.213], [0.870, 0.583, 0.912], [0.542, 0.328, 0.912], [0.583, 0.870, 0.412], [0.917, 0.828, 0.787], [0.917, 0.088, 0.630], [0.870, 0.287, 0.458], [0.172, 0.088, 0.958], [0.630, 0.588, 0.917], [0.412, 0.042, 0.328], [0.287, 0.417, 0.828], [0.213, 0.542, 0.630], [0.912, 0.083, 0.870], [0.672, 0.213, 0.583], [0.458, 0.787, 0.870], [0.042, 0.412, 0.828], [0.417, 0.287, 0.328], [0.042, 0.630, 0.713], [0.672, 0.458, 0.588], [0.287, 0.870, 0.958]],
  "formation_energy_uncorrected_kj_per_mol_atoms": -64,
  "dos_ef_per_ev_fu": 0.7,
  "magmom_total_mub_per_cell": 0.00,
  "energy_ha_per_atom": -0.170
}

---

# 7
{
  "formula": "Sm4As3Se",
  "functional": "GGA-PBE",
  "state": "relaxed",
  "lattice": [[-4.141, -0.221, -0.707], [-0.256, -6.385, 3.493], [-1.100, 5.403, 4.758]],
  "species": ["Sm", "Sm", "Sm", "Sm", "As", "As", "As", "Se"],
  "frac_coords": [[0.000, 0.256, 0.256], [0.500, 0.747, 0.253], [0.000, 0.744, 0.744], [0.500, 0.253, 0.747], [0.000, 0.000, 0.500], [0.500, 0.500, 0.500], [0.000, 0.500, 0.000], [0.500, 0.000, 0.000]],
  "formation_energy_uncorrected_kj_per_mol_atoms": -160,
  "dos_ef_per_ev_fu": 1.4,
  "magmom_total_mub_per_cell": 0.00,
  "energy_ha_per_atom": -0.228
}

---

# 8
{
  "formula": "SmAsSe",
  "functional": "GGA-PBE",
  "state": "relaxed",
  "lattice": [[3.975, 0.000, 0.000], [0.000, 3.975, 0.000], [0.000, 0.000, 8.967]],
  "species": ["Sm", "Sm", "As", "As", "Se", "Se"],
  "frac_coords": [[0.500, 0.000, 0.277], [0.000, 0.500, 0.723], [0.500, 0.500, 0.000], [0.000, 0.000, 0.000], [0.500, 0.000, 0.625], [0.000, 0.500, 0.375]],
  "formation_energy_uncorrected_kj_per_mol_atoms": -139,
  "dos_ef_per_ev_fu": 1.4,
  "magmom_total_mub_per_cell": 0.00,
  "energy_ha_per_atom": -0.210
}